# 1
# Sm2Tm2Mg15 | Alexandria | PBE | optimized geometry
# Formation enthalpy at 0 K: 0.73 kJ/mol of atoms
# Total DFT energy (no corrections): -126.47 eV/cell
data_Sm2Tm2Mg15
_space_group_name_H-M_alt 'R -3 m'
_space_group_IT_number 166
_space_group_name_Hall '-R 3 2"'
_cell_length_a 10.4669
_cell_length_b 10.4669
_cell_length_c 15.3059
_cell_angle_alpha 90.00
_cell_angle_beta 90.00
_cell_angle_gamma 120.00
loop_
_atom_site_label
_atom_site_fract_x
_atom_site_fract_y
_atom_site_fract_z
Sm1 0.0000 0.0000 0.1704
Tm1 0.0000 0.0000 0.3990
Mg1 0.0000 0.2966 0.5000
Mg2 0.0000 0.5000 0.0000
Mg3 0.0088 0.5044 0.6468

# 2
# Hf3InAu | Alexandria | PBE | optimized geometry
# Formation enthalpy at 0 K: -4.16 kJ/mol of atoms
# Offset from the most stable computed form: 0 meV per atom
# Total DFT energy (no corrections): -288.73 eV/cell
data_Hf3InAu
_space_group_name_H-M_alt 'C 1 2/c 1'
_space_group_IT_number 15
_space_group_name_Hall '-C 2yc'
_cell_length_a 10.4758
_cell_length_b 6.2475
_cell_length_c 13.5863
_cell_angle_alpha 90.00
_cell_angle_beta 96.34
_cell_angle_gamma 90.00
loop_
_atom_site_label
_atom_site_fract_x
_atom_site_fract_y
_atom_site_fract_z
Hf1 0.0547 0.1306 0.1345
Hf2 0.1807 0.1423 0.7960
Hf3 0.1981 0.3616 0.3977
In1 0.0463 0.3360 0.5765
Au1 0.0000 0.4791 0.2500
Au2 0.2500 0.2500 0.0000

# 3
# Cd4NiPt | Alexandria | PBE | optimized geometry
# Formation enthalpy at 0 K: 32.74 kJ/mol of atoms
# Total DFT energy (no corrections): -53.79 eV/cell
data_Cd4NiPt
_space_group_name_H-M_alt 'F -4 3 m'
_space_group_IT_number 216
_space_group_name_Hall 'F -4 2 3'
_cell_length_a 7.7409
_cell_length_b 7.7409
_cell_length_c 7.7409
_cell_angle_alpha 90.00
_cell_angle_beta 90.00
_cell_angle_gamma 90.00
loop_
_atom_site_label
_atom_site_fract_x
_atom_site_fract_y
_atom_site_fract_z
Cd1 0.1250 0.1250 0.1250
Ni1 0.2500 0.2500 0.7500
Pt1 0.0000 0.0000 0.5000

# 4
# NiAg2BiS | Alexandria | PBE | optimized geometry
# Total DFT energy (no corrections): -18.19 eV/cell
# Raw formation energy: 25.2 kJ per mole of atoms
data_NiAg2BiS
_space_group_name_H-M_alt 'P 4/m m m'
_space_group_IT_number 123
_space_group_name_Hall '-P 4 2'
_cell_length_a 5.0527
_cell_length_b 5.0527
_cell_length_c 4.1462
_cell_angle_alpha 90.00
_cell_angle_beta 90.00
_cell_angle_gamma 90.00
loop_
_atom_site_label
_atom_site_fract_x
_atom_site_fract_y
_atom_site_fract_z
Ni1 0.0000 0.0000 0.0000
Ag1 0.0000 0.5000 0.5000
Bi1 0.5000 0.5000 0.0000
S1 0.0000 0.0000 0.5000

# 5
# TaMo2Ir | Alexandria | PBE | optimized geometry
# Formation enthalpy at 0 K: -4.04 kJ/mol of atoms
# Offset from the most stable computed form: 112 meV per atom
# Total DFT energy (no corrections): -85.09 eV/cell
data_TaMo2Ir
_space_group_name_H-M_alt 'C 1 m 1'
_space_group_IT_number 8
_space_group_name_Hall 'C -2y'
_cell_length_a 9.4575
_cell_length_b 2.7703
_cell_length_c 4.9953
_cell_angle_alpha 90.00
_cell_angle_beta 98.35
_cell_angle_gamma 90.00
loop_
_atom_site_label
_atom_site_fract_x
_atom_site_fract_y
_atom_site_fract_z
Ta1 0.0000 0.0000 0.0000
Mo1 0.0253 0.5000 0.5122
Mo2 0.2667 0.5000 0.2939
Ir1 0.2569 0.0000 0.7895

# 6
# Hg2SCl8 | Alexandria | PBE | optimized geometry
# Total DFT energy (no corrections): -23.64 eV/cell
# Raw formation energy: -36.3 kJ per mole of atoms
data_Hg2SCl8
_space_group_name_H-M_alt 'P 1'
_space_group_IT_number 1
_space_group_name_Hall 'P 1'
_cell_length_a 4.3195
_cell_length_b 8.6784
_cell_length_c 10.2077
_cell_angle_alpha 84.25
_cell_angle_beta 86.79
_cell_angle_gamma 86.18
loop_
_atom_site_label
_atom_site_fract_x
_atom_site_fract_y
_atom_site_fract_z
Hg1 0.0000 0.0000 0.0000
Hg2 0.2457 0.2018 0.3273
S1 0.1869 0.6003 0.6536
Cl1 0.2084 0.6761 0.8606
Cl2 0.2689 0.5283 0.4428
Cl3 0.3359 0.8930 0.1610
Cl4 0.5797 0.0992 0.4905
Cl5 0.6638 0.1066 0.8392
Cl6 0.8846 0.7788 0.5935
Cl7 0.9112 0.3012 0.1629
Cl8 0.9365 0.4148 0.7178

# 7
# Er4CoI5 | Alexandria | PBE | optimized geometry
# Total DFT energy (no corrections): -86.43 eV/cell
# Raw formation energy: -97.5 kJ per mole of atoms
data_Er4CoI5
_space_group_name_H-M_alt 'C 1 2/m 1'
_space_group_IT_number 12
_space_group_name_Hall '-C 2y'
_cell_length_a 19.4416
_cell_length_b 4.0184
_cell_length_c 8.7764
_cell_angle_alpha 90.00
_cell_angle_beta 102.45
_cell_angle_gamma 90.00
loop_
_atom_site_label
_atom_site_fract_x
_atom_site_fract_y
_atom_site_fract_z
Er1 0.0000 0.0000 0.1944
Er2 0.1375 0.5000 0.0702
Co1 0.0000 0.5000 0.0000
I1 0.0000 0.5000 0.5000
I2 0.1671 0.0000 0.3433
I3 0.1765 0.0000 0.8296

# 8
# ZnWS3 | Alexandria | PBE | optimized geometry
# Offset from the most stable computed form: 0 meV per atom
# Total DFT energy (no corrections): -26.06 eV/cell
# Raw formation energy: 10.7 kJ per mole of atoms
data_ZnWS3
_space_group_name_H-M_alt 'P m -3 m'
_space_group_IT_number 221
_space_group_name_Hall '-P 4 2 3'
_cell_length_a 4.7001
_cell_length_b 4.7001
_cell_length_c 4.7001
_cell_angle_alpha 90.00
_cell_angle_beta 90.00
_cell_angle_gamma 90.00
loop_
_atom_site_label
_atom_site_fract_x
_atom_site_fract_y
_atom_site_fract_z
Zn1 0.0000 0.0000 0.0000
W1 0.5000 0.5000 0.5000
S1 0.0000 0.5000 0.5000

# 9
# Tb6SmDy6 | Alexandria | PBE | optimized geometry
# Formation enthalpy at 0 K: 21.76 kJ/mol of atoms
# Total DFT energy (no corrections): -57.18 eV/cell
data_Tb6SmDy6
_space_group_name_H-M_alt 'P 1 2/m 1'
_space_group_IT_number 10
_space_group_name_Hall '-P 2y'
_cell_length_a 6.5545
_cell_length_b 11.1023
_cell_length_c 6.5700
_cell_angle_alpha 90.00
_cell_angle_beta 115.53
_cell_angle_gamma 90.00
loop_
_atom_site_label
_atom_site_fract_x
_atom_site_fract_y
_atom_site_fract_z
Tb1 0.0000 0.1626 0.0000
Tb2 0.2717 0.0000 0.7380
Tb3 0.3276 0.5000 0.6125
Sm1 0.0000 0.5000 0.0000
Dy1 0.0000 0.2668 0.5000
Dy2 0.5000 0.1990 0.5000
Dy3 0.5000 0.2834 0.0000

# 10
# Ac2Mg16Al | Alexandria | PBE | optimized geometry
# Formation enthalpy at 0 K: -8.06 kJ/mol of atoms
# Total DFT energy (no corrections): -117.18 eV/cell
data_Ac2Mg16Al
_space_group_name_H-M_alt 'R 3 m'
_space_group_IT_number 160
_space_group_name_Hall 'R 3 -2"'
_cell_length_a 10.4004
_cell_length_b 10.4004
_cell_length_c 15.2686
_cell_angle_alpha 90.00
_cell_angle_beta 90.00
_cell_angle_gamma 120.00
loop_
_atom_site_label
_atom_site_fract_x
_atom_site_fract_y
_atom_site_fract_z
Ac1 0.0000 0.0000 0.0000
Ac2 0.0000 0.0000 0.3397
Mg1 0.0000 0.0000 0.7592
Mg2 0.0001 0.2958 0.6685
Mg3 0.0028 0.5014 0.1688
Mg4 0.0044 0.5022 0.8222
Mg5 0.1692 0.3385 0.8487
Al1 0.0000 0.0000 0.5676

# 11
# Zr4GeC | Alexandria | PBE | optimized geometry
# Formation enthalpy at 0 K: -37.66 kJ/mol of atoms
# Total DFT energy (no corrections): -100.75 eV/cell
data_Zr4GeC
_space_group_name_H-M_alt 'P 1 21/c 1'
_space_group_IT_number 14
_space_group_name_Hall '-P 2ybc'
_cell_length_a 6.1413
_cell_length_b 6.1687
_cell_length_c 6.1698
_cell_angle_alpha 90.00
_cell_angle_beta 94.81
_cell_angle_gamma 90.00
loop_
_atom_site_label
_atom_site_fract_x
_atom_site_fract_y
_atom_site_fract_z
Zr1 0.1116 0.1596 0.1794
Zr2 0.3299 0.6273 0.1045
Ge1 0.5000 0.0000 0.0000
C1 0.0000 0.0000 0.5000

# 12
# Pm5SmGe4 | Alexandria | PBE | optimized geometry
# Formation enthalpy at 0 K: -60.82 kJ/mol of atoms
# Total DFT energy (no corrections): -106.49 eV/cell
data_Pm5SmGe4
_space_group_name_H-M_alt 'C 1 2/m 1'
_space_group_IT_number 12
_space_group_name_Hall '-C 2y'
_cell_length_a 15.6693
_cell_length_b 5.1194
_cell_length_c 7.0136
_cell_angle_alpha 90.00
_cell_angle_beta 90.13
_cell_angle_gamma 90.00
loop_
_atom_site_label
_atom_site_fract_x
_atom_site_fract_y
_atom_site_fract_z
Pm1 0.0000 0.0000 0.0000
Pm2 0.1650 0.5000 0.5073
Pm3 0.1648 0.5000 0.9928
Sm1 0.0000 0.0000 0.5000
Ge1 0.0096 0.5000 0.2513
Ge2 0.1780 0.0000 0.7498

| no. | total magnetic moment (μB per formula unit) |
| --- | --- |
| 1 | 0.0 |
| 2 | 0.0 |
| 3 | 0.0 |
| 4 | 0.0 |
| 5 | 0.0 |
| 6 | 0.0 |
| 7 | 0.0 |
| 8 | 0.0 |
| 9 | 0.0 |
| 10 | 0.0 |
| 11 | 0.0 |
| 12 | 0.0 |